# 1
This record from Alexandria via LeMat-Bulk describes an optimized crystal structure of LaZnP2. The functional is PBE-GGA.

Results
- ΔE_f (eV/atom) = -0.42
- theoretical density (kg/m3) = 5628
- V (Å³/cell) = 79
- DOS(E_F) (states/eV/f.u.) = 2.28
- total DFT energy (no corrections) (eV/atom) = -4.6792

Unit cell a=3.6301 b=3.6301 c=5.9616 alpha=90.00 beta=90.00 gamma=90.00
Last column: nearest neighbours and their distance in Å.
Space group P4/mmm (No. 123)
Inequivalent atoms, fractional coordinates:
La 0.0000 0.0000 0.0000 x1  2 Zn 2.98, 8 P 3.16
Zn 0.0000 0.0000 0.5000 x1  8 P 2.81, 2 La 2.98
P 0.5000 0.5000 0.3083 x2  1 P 2.29

# 2
This record from Alexandria via LeMat-Bulk describes an optimized crystal structure of LaZnP2. The functional is PBE-GGA.

Results
- ΔE_f (eV/atom) = -0.52
- theoretical density (kg/m3) = 5506
- V (Å³/cell) = 80
- DOS(E_F) (states/eV/f.u.) = 1.66
- total DFT energy (no corrections) (eV/atom) = -4.7776

Unit cell a=4.5364 b=4.5364 c=3.9023 alpha=90.00 beta=90.00 gamma=90.00
Last column: nearest neighbours and their distance in Å.
Space group P4/mmm (No. 123)
Inequivalent atoms, fractional coordinates:
La 0.0000 0.0000 0.0000 x1  8 P 2.99, 4 Zn 3.21
Zn 0.5000 0.5000 0.0000 x1  8 P 2.99, 4 La 3.21
P 0.0000 0.5000 0.5000 x2  4 Zn 2.99, 4 La 2.99, 4 P 3.21

# 3
This record from Alexandria via LeMat-Bulk describes an optimized crystal structure of LaZnP3. The functional is PBE-GGA.

Results
- ΔE_f (eV/atom) = 0.98
- theoretical density (kg/m3) = 2997
- V (Å³/cell) = 165
- DOS(E_F) (states/eV/f.u.) = 4.32
- total DFT energy (no corrections) (eV/atom) = -3.5110
- ΔE to the lowest computed polymorph (meV/atom) = 1098

Unit cell a=5.4815 b=5.4815 c=5.4815 alpha=90.00 beta=90.00 gamma=90.00
Last column: nearest neighbours and their distance in Å.
Space group Pm-3m (No. 221)
Inequivalent atoms, fractional coordinates:
La 0.0000 0.0000 0.0000 x1  6 P 2.74
Zn 0.5000 0.5000 0.5000 x1  12 P 3.88
P 0.0000 0.0000 0.5000 x3  2 La 2.74

# 4
This record from Alexandria via LeMat-Bulk describes an optimized crystal structure of LaZnP2. The functional is PBE-GGA.

Results
- ΔE_f (eV/atom) = -0.66
- theoretical density (kg/m3) = 5080
- V (Å³/cell) = 348
- DOS(E_F) (states/eV/f.u.) = 0.73
- total DFT energy (no corrections) (eV/atom) = -4.9188

Unit cell a=7.0727 b=7.0727 c=6.9597 alpha=90.00 beta=90.00 gamma=90.00
Last column: nearest neighbours and their distance in Å.
Space group I-42d (No. 122)
Inequivalent atoms, fractional coordinates:
La 0.0000 0.0000 0.0000 x4  4 P 2.98
Zn 0.0000 0.0000 0.5000 x4  4 P 2.36
P 0.1845 0.7500 0.6250 x8  2 Zn 2.36

What is the total DFT energy (no corrections) in the second record?
-4.7776 eV/atom

Which value of theoretical density does entry 3 give?
2997 kg/m3

Among the records above, which one has the lowest theoretical density?
LaZnP3

Please write out number 3 again, unchanged.
This record from Alexandria via LeMat-Bulk describes an optimized crystal structure of LaZnP3. The functional is PBE-GGA.

Results
- ΔE_f (eV/atom) = 0.98
- theoretical density (kg/m3) = 2997
- V (Å³/cell) = 165
- DOS(E_F) (states/eV/f.u.) = 4.32
- total DFT energy (no corrections) (eV/atom) = -3.5110
- ΔE to the lowest computed polymorph (meV/atom) = 1098

Unit cell a=5.4815 b=5.4815 c=5.4815 alpha=90.00 beta=90.00 gamma=90.00
Last column: nearest neighbours and their distance in Å.
Space group Pm-3m (No. 221)
Inequivalent atoms, fractional coordinates:
La 0.0000 0.0000 0.0000 x1  6 P 2.74
Zn 0.5000 0.5000 0.5000 x1  12 P 3.88
P 0.0000 0.0000 0.5000 x3  2 La 2.74